Compound: TcWF3
Source: Alexandria
Functional: PBE+U
Structure: optimized geometry Values from VASP.

Cell and atoms, written as Quantum ESPRESSO input:
```
&SYSTEM
  ibrav = 0, nat = 5, ntyp = 3
/
ATOMIC_SPECIES
Tc 98.00 Tc.upf
W 183.84 W.upf
F 19.00 F.upf
ATOMIC_POSITIONS angstrom
Tc 0.0000 0.0000 0.0000
W 2.1798 2.1798 2.1798
F 0.0000 2.1798 2.1798
F 2.1798 0.0000 2.1798
F 2.1798 2.1798 0.0000
CELL_PARAMETERS angstrom
4.3597 0.0000 0.0000
0.0000 4.3597 0.0000
0.0000 0.0000 4.3597
```

Calculated values
space group = Pm-3m, No. 221
energy above the lowest structure with this stoichiometry = 0 meV per atom
E = -26.5 eV per cell